Compound: HfOs2WAu
Source: Alexandria
Functional: PBE
Structure: optimized geometry

Calculated values
Total magnetic moment: 0.00 μB/f.u.
ρ: 14.27 g/cm³
VASP energy: -7.225 eV/atom
DFT formation energy: 12.52 eV per formula unit

Lattice parameters (Å, degrees): 4.7781 4.7781 4.7894 90.00 90.00 90.00
Space group P4/mmm (No. 123)
Inequivalent atoms, fractional coordinates:
Hf 0.0000 0.0000 0.0000 (multiplicity 1)
Os 0.0000 0.5000 0.5000 (multiplicity 2)
W 0.5000 0.5000 0.0000 (multiplicity 1)
Au 0.0000 0.0000 0.5000 (multiplicity 1)